Run A
DFT (GGA-PBE) results for an optimized crystal structure of BaTeIrAu. Values from VASP.

```
&SYSTEM
  ibrav = 0, nat = 4, ntyp = 4
/
ATOMIC_SPECIES
Ba 137.33 Ba.upf
Au 196.97 Au.upf
Te 127.60 Te.upf
Ir 192.22 Ir.upf
ATOMIC_POSITIONS angstrom
Ba 1.852 1.852 1.852
Au 5.557 5.557 5.557
Te 3.704 3.704 3.704
Ir 0.000 0.000 0.000
CELL_PARAMETERS angstrom
0.000 3.704 3.704
3.704 0.000 3.704
3.704 3.704 0.000
```

Run B
DFT (GGA-PBE) results for an optimized crystal structure of BaTeIrAu. Values from VASP.

```
&SYSTEM
  ibrav = 0, nat = 4, ntyp = 4
/
ATOMIC_SPECIES
Ba 137.33 Ba.upf
Te 127.60 Te.upf
Ir 192.22 Ir.upf
Au 196.97 Au.upf
ATOMIC_POSITIONS angstrom
Ba 0.000 0.000 0.000
Te -1.795 -4.094 -4.511
Ir -0.898 -2.047 -2.255
Au -2.693 -6.141 -6.766
CELL_PARAMETERS angstrom
1.626 -3.694 -3.255
-3.064 -4.044 -1.071
-2.153 -0.450 -4.696
```

Which of them is the least stable? Correct choice: run A.

Run A
DFT (GGA-PBE) results for an optimized crystal structure of Al2Ni3. Values from VASP.

```
&SYSTEM
  ibrav = 0, nat = 30, ntyp = 2
/
ATOMIC_SPECIES
Ni 58.69 Ni.upf
Al 26.98 Al.upf
ATOMIC_POSITIONS angstrom
Ni 1.178 4.011 0.000
Ni 4.648 7.481 0.000
Al 2.720 5.939 3.598
Ni 4.329 4.329 2.401
Al 7.739 0.919 2.401
Al 1.609 1.609 1.197
Ni 3.151 8.340 2.401
Ni 0.318 5.507 2.401
Al 7.049 7.049 3.604
Ni 0.000 0.000 0.000
Al 2.720 5.939 1.204
Al 3.410 3.410 0.000
Ni 4.011 1.178 0.000
Al 5.249 5.249 0.000
Ni 4.880 6.650 2.401
Ni 3.778 2.008 2.401
Al 1.609 1.609 3.604
Ni 8.340 3.151 2.401
Ni 2.008 3.778 2.401
Ni 2.321 8.108 0.000
Ni 6.338 0.551 0.000
Ni 5.507 0.318 2.401
Al 7.049 7.049 1.197
Al 5.939 2.720 3.598
Ni 8.108 2.321 0.000
Al 5.939 2.720 1.204
Al 0.919 7.739 2.401
Ni 0.551 6.338 0.000
Ni 6.650 4.880 2.401
Ni 7.481 4.648 0.000
CELL_PARAMETERS angstrom
8.659 0.000 0.000
0.000 8.659 0.000
0.000 0.000 4.801
```

Run B
DFT (GGA-PBE) results for an optimized crystal structure of Al2Ni3. Values from VASP.

```
&SYSTEM
  ibrav = 0, nat = 30, ntyp = 2
/
ATOMIC_SPECIES
Ni 58.69 Ni.upf
Al 26.98 Al.upf
ATOMIC_POSITIONS angstrom
Ni 4.674 7.523 0.000
Al 5.274 5.274 0.000
Al 6.756 4.849 2.352
Al 8.244 2.392 0.000
Ni 2.736 5.993 3.535
Ni 7.523 4.674 0.000
Ni 2.736 5.993 1.169
Ni 5.993 2.736 3.535
Ni 7.100 7.100 1.183
Ni 5.993 2.736 1.169
Ni 4.055 1.206 0.000
Al 4.849 6.756 2.352
Ni 4.364 4.364 2.352
Ni 1.206 4.055 0.000
Al 1.973 3.880 2.352
Ni 0.000 0.000 0.000
Ni 7.100 7.100 3.522
Ni 8.419 3.158 2.352
Ni 1.628 1.628 3.522
Al 2.392 8.244 0.000
Ni 0.310 5.570 2.352
Ni 5.570 0.310 2.352
Al 0.910 7.819 2.352
Al 6.337 0.484 0.000
Al 0.484 6.337 0.000
Al 7.819 0.910 2.352
Al 3.880 1.973 2.352
Ni 1.628 1.628 1.183
Ni 3.158 8.419 2.352
Al 3.454 3.454 0.000
CELL_PARAMETERS angstrom
8.729 0.000 0.000
0.000 8.729 0.000
0.000 0.000 4.705
```

Which of them is the least stable? Correct choice: run A.

Run A
DFT (GGA-PBE) results for an optimized crystal structure of Cu7Ag3. Values from VASP.

```
&SYSTEM
  ibrav = 0, nat = 10, ntyp = 2
/
ATOMIC_SPECIES
Cu 63.55 Cu.upf
Ag 107.87 Ag.upf
ATOMIC_POSITIONS angstrom
Cu -6.639 -2.232 8.482
Cu -4.461 -0.824 7.998
Cu -8.782 -2.627 12.322
Cu -2.170 -0.381 3.959
Cu -13.247 -4.519 16.700
Ag -8.837 -3.701 8.806
Ag -13.323 -5.588 13.246
Cu 0.026 1.059 3.537
Cu -4.325 -1.803 4.336
Ag -11.008 -4.065 12.825
CELL_PARAMETERS angstrom
-8.532 -2.415 6.525
-6.978 -4.599 7.167
2.280 2.526 3.073
```

Run B
DFT (GGA-PBE) results for an optimized crystal structure of Cu7Ag3. Values from VASP.

```
&SYSTEM
  ibrav = 0, nat = 10, ntyp = 2
/
ATOMIC_SPECIES
Ag 107.87 Ag.upf
Cu 63.55 Cu.upf
ATOMIC_POSITIONS angstrom
Ag -4.841 4.861 5.900
Cu -2.874 6.615 8.097
Ag -6.809 3.004 3.576
Cu -4.578 1.942 2.309
Cu -0.182 2.844 3.501
Ag -2.348 0.899 1.065
Cu -2.623 3.925 4.788
Cu 3.598 6.579 8.172
Cu -0.553 5.794 7.129
Cu 1.811 4.780 5.923
CELL_PARAMETERS angstrom
-4.413 1.602 -0.290
-4.445 -0.533 1.443
3.721 6.625 8.231
```

Run C
DFT (GGA-PBE) results for an optimized crystal structure of Cu7Ag3. Values from VASP.

```
&SYSTEM
  ibrav = 0, nat = 10, ntyp = 2
/
ATOMIC_SPECIES
Cu 63.55 Cu.upf
Ag 107.87 Ag.upf
ATOMIC_POSITIONS angstrom
Cu 0.000 0.000 14.100
Cu 0.000 0.000 5.921
Cu 0.000 0.000 11.554
Ag 0.000 0.000 3.080
Ag 1.393 1.699 1.201
Cu 1.393 1.699 12.847
Cu 1.393 1.699 4.657
Cu 1.393 1.699 10.301
Cu 1.393 1.699 7.187
Ag 0.000 0.000 8.744
CELL_PARAMETERS angstrom
2.786 0.000 0.000
0.000 3.398 0.000
0.000 0.000 14.471
```

Which of them is the least stable? Correct choice: run A.